5
Lattice="5.3588 0.0000 0.0000 0.0000 5.3588 0.0000 0.0000 0.0000 3.9856" Properties=species:S:1:pos:R:3 comment="NbHgSe2N (PBE, optimized geometry)" sg="P4/mmm (123)" polymorph_energy_mev_per_atom=1383 formation_energy_uncorrected_ev_per_atom=1.416 pbc="T T T"
Nb 0.0000 0.0000 0.0000
Hg 2.6794 2.6794 1.9928
Se 0.0000 2.6794 1.9928
Se 2.6794 0.0000 1.9928
N 2.6794 2.6794 0.0000



12
Lattice="-4.8279 4.8279 3.8194 4.8279 -4.8279 3.8194 4.8279 4.8279 -3.8194" Properties=species:S:1:pos:R:3 comment="PmPSe4 (PBE, optimized geometry)" sg="I4_1/amd (141)" formation_energy_uncorrected_ev_per_atom=-0.730 pbc="T T T"
Pm 4.8279 2.4140 0.9548
Pm 0.0000 2.4140 2.8645
P 4.8279 -2.4140 2.8645
P 0.0000 7.2419 0.9548
Se 4.8279 -0.6964 1.4126
Se 4.8279 4.1315 -1.4126
Se 1.7176 2.4140 0.4971
Se 3.1104 -2.4140 4.3165
Se 1.7176 7.2419 -0.4971
Se 3.1104 2.4140 3.3223
Se 0.0000 0.6964 5.2320
Se 0.0000 5.5243 2.4068